Entry 1:
# K2HfTcI | the Alexandria database | PBE | relaxed
data_K2HfTcI
_space_group_name_H-M_alt 'P 4/m m m'
_space_group_IT_number 123
_space_group_name_Hall '-P 4 2'
_cell_length_a 6.517
_cell_length_b 6.517
_cell_length_c 4.650
_cell_angle_alpha 90.00
_cell_angle_beta 90.00
_cell_angle_gamma 90.00
loop_
_atom_site_label
_atom_site_type_symbol
_atom_site_fract_x
_atom_site_fract_y
_atom_site_fract_z
K1 K 0.000 0.500 0.000
Hf1 Hf 0.000 0.000 0.500
Tc1 Tc 0.000 0.000 0.000
I1 I 0.500 0.500 0.500
# E_form (uncorrected): 0.59 eV/atom



Entry 2:
# Zr3PRu | the Alexandria database | PBE | relaxed
data_Zr3PRu
_space_group_name_H-M_alt 'P m -3 m'
_space_group_IT_number 221
_space_group_name_Hall '-P 4 2 3'
_cell_length_a 4.794
_cell_length_b 4.794
_cell_length_c 4.794
_cell_angle_alpha 90.00
_cell_angle_beta 90.00
_cell_angle_gamma 90.00
loop_
_atom_site_label
_atom_site_type_symbol
_atom_site_fract_x
_atom_site_fract_y
_atom_site_fract_z
Zr1 Zr 0.000 0.000 0.500
P1 P 0.000 0.000 0.000
Ru1 Ru 0.500 0.500 0.500
# Energy relative to the lowest polymorph listed for this composition: 0 meV per atom
# Energy relative to the elements: 0.023 eV/atom



Entry 3:
# LiCrOs2 | the Alexandria database | PBE | relaxed
data_LiCrOs2
_space_group_name_H-M_alt 'P m m 2'
_space_group_IT_number 25
_cell_length_a 2.661
_cell_length_b 3.928
_cell_length_c 4.997
_cell_angle_alpha 90.00
_cell_angle_beta 90.00
_cell_angle_gamma 90.00
loop_
_space_group_symop_operation_xyz
'x,y,z'
'-x,-y,z'
'-x,y,z'
'x,-y,z'
loop_
_atom_site_label
_atom_site_type_symbol
_atom_site_fract_x
_atom_site_fract_y
_atom_site_fract_z
Li1 Li 0.000 0.000 0.000
Cr1 Cr 0.500 0.500 0.770
Os1 Os 0.000 0.000 0.501
Os2 Os 0.500 0.500 0.242
# Energy relative to the lowest polymorph listed for this composition: 174 meV per atom
# Energy relative to the elements: 0.282 eV/atom



Entry 4:
# PdPb5Au | the Alexandria database | PBE | relaxed
data_PdPb5Au
_space_group_name_H-M_alt 'P 1 21/m 1'
_space_group_IT_number 11
_cell_length_a 7.589
_cell_length_b 3.712
_cell_length_c 13.872
_cell_angle_alpha 90.00
_cell_angle_beta 94.62
_cell_angle_gamma 90.00
loop_
_space_group_symop_operation_xyz
'x,y,z'
'-x,-y,-z'
'-x,y+1/2,-z'
'x,-y+1/2,z'
loop_
_atom_site_label
_atom_site_type_symbol
_atom_site_fract_x
_atom_site_fract_y
_atom_site_fract_z
Pd1 Pd 0.075 0.250 0.356
Pb1 Pb 0.140 0.250 0.143
Pb2 Pb 0.166 0.250 0.733
Pb3 Pb 0.199 0.750 0.505
Pb4 Pb 0.308 0.750 0.952
Pb5 Pb 0.445 0.250 0.335
Au1 Au 0.468 0.750 0.161
# Energy relative to the lowest polymorph listed for this composition: 0 meV per atom
# Energy relative to the elements: -0.072 eV/atom



Entry 5:
# TeSCl | the Alexandria database | PBE | relaxed
data_TeSCl
_space_group_name_H-M_alt 'P -1'
_space_group_IT_number 2
_cell_length_a 3.675
_cell_length_b 7.319
_cell_length_c 7.722
_cell_angle_alpha 102.26
_cell_angle_beta 95.45
_cell_angle_gamma 104.40
loop_
_space_group_symop_operation_xyz
'x,y,z'
'-x,-y,-z'
loop_
_atom_site_label
_atom_site_type_symbol
_atom_site_fract_x
_atom_site_fract_y
_atom_site_fract_z
Te1 Te 0.131 0.229 0.086
S1 S 0.329 0.778 0.693
Cl1 Cl 0.401 0.728 0.176
# Energy relative to the lowest polymorph listed for this composition: 35 meV per atom
# E_form (uncorrected): -0.16 eV/atom



Entry 6:
# Ba2SrInPt | the Alexandria database | PBE | relaxed
data_Ba2SrInPt
_space_group_name_H-M_alt 'P 4/m m m'
_space_group_IT_number 123
_space_group_name_Hall '-P 4 2'
_cell_length_a 6.249
_cell_length_b 6.249
_cell_length_c 5.355
_cell_angle_alpha 90.00
_cell_angle_beta 90.00
_cell_angle_gamma 90.00
loop_
_atom_site_label
_atom_site_type_symbol
_atom_site_fract_x
_atom_site_fract_y
_atom_site_fract_z
Ba1 Ba 0.000 0.500 0.000
Sr1 Sr 0.000 0.000 0.500
In1 In 0.500 0.500 0.500
Pt1 Pt 0.500 0.500 0.000
# Energy relative to the lowest polymorph listed for this composition: 56 meV per atom
# Energy relative to the elements: -0.373 eV/atom